1.
{"formula": "YGaHg", "functional": "PBE", "state": "relaxed", "formation_enthalpy_0k_ev_per_atom": -0.44, "cell": [[4.132, 0.000, 0.000], [0.000, 11.144, 0.000], [0.000, 0.000, 6.103]], "species": ["Y", "Y", "Y", "Y", "Ga", "Ga", "Ga", "Ga", "Hg", "Hg", "Hg", "Hg"], "fractional_positions": [[0.000, 0.176, 0.250], [0.000, 0.824, 0.750], [0.500, 0.324, 0.750], [0.500, 0.676, 0.250], [0.000, 0.500, 0.000], [0.000, 0.500, 0.500], [0.500, 0.000, 0.000], [0.500, 0.000, 0.500], [0.000, 0.122, 0.750], [0.000, 0.878, 0.250], [0.500, 0.378, 0.250], [0.500, 0.622, 0.750]]}

2.
{"formula": "YGaHg2", "functional": "PBE", "state": "relaxed", "formation_enthalpy_0k_ev_per_atom": -0.27, "cell": [[3.781, 0.000, 0.000], [0.000, 3.781, 0.000], [0.000, 0.000, 6.621]], "species": ["Y", "Ga", "Hg", "Hg"], "fractional_positions": [[0.000, 0.000, 0.000], [0.000, 0.000, 0.500], [0.500, 0.500, 0.262], [0.500, 0.500, 0.738]]}

3.
{"formula": "Y2Ga3Hg", "functional": "PBE", "state": "relaxed", "formation_enthalpy_0k_ev_per_atom": -0.57, "cell": [[0.000, 4.511, 7.788], [3.696, 0.000, 7.788], [3.696, 4.511, 0.000]], "species": ["Y", "Y", "Y", "Y", "Ga", "Ga", "Ga", "Ga", "Ga", "Ga", "Hg", "Hg"], "fractional_positions": [[0.249, 0.751, 0.751], [0.250, 0.250, 0.250], [0.750, 0.750, 0.750], [0.751, 0.249, 0.249], [0.175, 0.662, 0.338], [0.338, 0.338, 0.662], [0.338, 0.825, 0.175], [0.662, 0.175, 0.825], [0.662, 0.662, 0.338], [0.825, 0.338, 0.662], [0.167, 0.167, 0.833], [0.833, 0.833, 0.167]]}

4.
{"formula": "Y2Ga2Hg", "functional": "PBE", "state": "relaxed", "formation_enthalpy_0k_ev_per_atom": -0.58, "cell": [[5.501, -2.238, 0.000], [5.501, 2.238, 0.000], [-4.836, 0.000, 9.389]], "species": ["Y", "Y", "Y", "Y", "Ga", "Ga", "Ga", "Ga", "Hg", "Hg"], "fractional_positions": [[0.003, 0.003, 0.322], [0.182, 0.182, 0.098], [0.818, 0.818, 0.902], [0.997, 0.997, 0.678], [0.370, 0.370, 0.432], [0.466, 0.466, 0.106], [0.534, 0.534, 0.894], [0.630, 0.630, 0.568], [0.281, 0.281, 0.656], [0.719, 0.719, 0.344]]}

5.
{"formula": "Y5Ga2Hg", "functional": "PBE", "state": "relaxed", "formation_enthalpy_0k_ev_per_atom": -0.50, "cell": [[-3.811, 3.811, 7.366], [3.811, -3.811, 7.366], [3.811, 3.811, -7.366]], "species": ["Y", "Y", "Y", "Y", "Y", "Y", "Y", "Y", "Y", "Y", "Ga", "Ga", "Ga", "Ga", "Hg", "Hg"], "fractional_positions": [[0.000, 0.000, 0.000], [0.026, 0.526, 0.841], [0.185, 0.026, 0.500], [0.315, 0.815, 0.841], [0.474, 0.315, 0.500], [0.500, 0.500, 0.000], [0.526, 0.685, 0.500], [0.685, 0.185, 0.159], [0.815, 0.974, 0.500], [0.974, 0.474, 0.159], [0.122, 0.378, 0.500], [0.378, 0.878, 0.256], [0.622, 0.122, 0.744], [0.878, 0.622, 0.500], [0.250, 0.250, 0.000], [0.750, 0.750, 0.000]]}

6.
{"formula": "YGaHg", "functional": "PBE", "state": "relaxed", "formation_enthalpy_0k_ev_per_atom": -0.42, "cell": [[5.052, 0.000, 0.000], [-2.526, 4.375, 0.000], [0.000, 0.000, 6.169]], "species": ["Y", "Y", "Ga", "Ga", "Hg", "Hg"], "fractional_positions": [[0.333, 0.667, 0.250], [0.667, 0.333, 0.750], [0.333, 0.667, 0.750], [0.667, 0.333, 0.250], [0.000, 0.000, 0.000], [0.000, 0.000, 0.500]]}

> Number 4 is which compound?

Y2Ga2Hg